[1]
{
  "formula": "BiTe",
  "functional": "GGA-PBE",
  "state": "optimized geometry",
  "lattice": [[3.698, -2.161, 0.000], [3.698, 2.161, 0.000], [-2.405, 0.000, 8.568]],
  "species": ["Bi", "Bi", "Te", "Te"],
  "fractional_positions": [[0.119, 0.119, 0.357], [0.881, 0.881, 0.643], [0.290, 0.290, 0.869], [0.710, 0.710, 0.131]],
  "energy_ev_per_cell": -13.97,
  "rho_g_cm3": 8.16,
  "dos_at_fermi_per_ev_cell": 2.0
}

=====

[2]
{
  "formula": "Th7Se5S",
  "functional": "GGA-PBE",
  "state": "optimized geometry",
  "lattice": [[6.933, -1.964, 0.000], [6.933, 1.964, 0.000], [-0.993, 0.000, 25.634]],
  "species": ["Th", "Th", "Th", "Th", "Th", "Th", "Th", "Th", "Th", "Th", "Th", "Th", "Th", "Th", "Se", "Se", "Se", "Se", "Se", "Se", "Se", "Se", "Se", "Se", "S", "S"],
  "fractional_positions": [[0.000, 0.000, 0.000], [0.003, 0.003, 0.575], [0.129, 0.129, 0.283], [0.159, 0.159, 0.791], [0.284, 0.284, 0.500], [0.290, 0.290, 0.075], [0.406, 0.406, 0.852], [0.439, 0.439, 0.717], [0.561, 0.561, 0.422], [0.583, 0.583, 0.149], [0.706, 0.706, 0.925], [0.727, 0.727, 0.653], [0.849, 0.849, 0.357], [0.884, 0.884, 0.222], [0.054, 0.054, 0.889], [0.081, 0.081, 0.683], [0.207, 0.207, 0.392], [0.235, 0.235, 0.186], [0.353, 0.353, 0.964], [0.360, 0.360, 0.609], [0.644, 0.644, 0.537], [0.645, 0.645, 0.037], [0.928, 0.928, 0.466], [0.937, 0.937, 0.111], [0.477, 0.477, 0.310], [0.812, 0.812, 0.764]],
  "energy_ev_per_cell": -181.74,
  "rho_g_cm3": 9.76,
  "dos_at_fermi_per_ev_cell": 21.2
}

=====

[3]
{
  "formula": "ThRh2Pb",
  "functional": "GGA-PBE",
  "state": "optimized geometry",
  "lattice": [[4.789, 0.000, 0.000], [0.000, 4.789, 0.000], [0.000, 0.000, 3.646]],
  "species": ["Th", "Rh", "Rh", "Pb"],
  "fractional_positions": [[0.000, 0.000, 0.000], [0.000, 0.500, 0.500], [0.500, 0.000, 0.500], [0.500, 0.500, 0.000]],
  "e_form_ev_per_atom": -0.49,
  "energy_ev_per_cell": -27.81,
  "rho_g_cm3": 12.81,
  "dos_at_fermi_per_ev_cell": 3.7
}

=====

[4]
{
  "formula": "CaCd3Ga3",
  "functional": "GGA-PBE",
  "state": "optimized geometry",
  "lattice": [[7.490, 0.000, 0.000], [0.000, 7.490, 0.000], [0.000, 0.000, 7.490]],
  "species": ["Ca", "Ca", "Cd", "Cd", "Cd", "Cd", "Cd", "Cd", "Ga", "Ga", "Ga", "Ga", "Ga", "Ga"],
  "fractional_positions": [[0.000, 0.000, 0.000], [0.500, 0.500, 0.500], [0.000, 0.250, 0.500], [0.000, 0.750, 0.500], [0.250, 0.500, 0.000], [0.500, 0.000, 0.250], [0.500, 0.000, 0.750], [0.750, 0.500, 0.000], [0.000, 0.500, 0.250], [0.000, 0.500, 0.750], [0.250, 0.000, 0.500], [0.500, 0.250, 0.000], [0.500, 0.750, 0.000], [0.750, 0.000, 0.500]],
  "e_form_ev_per_atom": 0.20,
  "energy_ev_per_cell": -24.91,
  "rho_g_cm3": 4.64,
  "dos_at_fermi_per_ev_cell": 5.5
}